# 1
Compound: Ga2PdF
Source: Alexandria
Functional: PBE
Structure: relaxed

The structure in POSCAR format:
```
Ga2PdF
1.0
0.000 3.137 3.137
3.137 0.000 3.137
3.137 3.137 0.000
Ga Pd F
2 1 1
direct
0.250 0.250 0.250 Ga
0.750 0.750 0.750 Ga
0.000 0.000 0.000 Pd
0.500 0.500 0.500 F
```

E_form (uncorrected) in eV/atom: -0.722
Symmetry: Fm-3m, No. 225

=====

# 2
Compound: Hg2MoIr
Source: Alexandria
Functional: PBE
Structure: relaxed

The structure in POSCAR format:
```
Hg2MoIr
1.0
-2.137 2.137 3.905
2.137 -2.137 3.905
2.137 2.137 -3.905
Hg Mo Ir
2 1 1
direct
0.000 0.000 0.000 Hg
0.750 0.250 0.500 Hg
0.500 0.500 0.000 Mo
0.250 0.750 0.500 Ir
```

Symmetry: I-4m2, No. 119

=====

Number 1: polymorph energy (0 for the lowest one) 6 meV/atom. Number 2: polymorph energy (0 for the lowest one) 441 meV/atom.